1.
DFT (GGA-PBE) results for an optimized crystal structure of BeFe2Br.

Summary:
For the density of states at the Fermi level, the calculation gives 0.82 states/eV/atom. The calculation puts the formation energy from raw total energies at 0.44 eV per atom. The spin magnetization is 1.248 μB/atom.

Cell lengths 3.0110, 3.0110, 6.1068 Å; angles 90.00, 90.00, 90.00 degrees
Space group P4/mmm (No. 123)
Unique sites:
Be: 0.0000 0.0000 0.0000 [1 per cell]
Fe: 0.5000 0.5000 0.1873 [2 per cell]
Br: 0.0000 0.0000 0.5000 [1 per cell]

=====

2.
DFT (GGA-PBE) results for an optimized crystal structure of PmPuNiP.

Summary:
For the density of states at the Fermi level, the calculation gives 2.47 states/eV/atom. The calculation puts the formation energy from the elements at -0.495 eV/atom. The spin magnetization is 1.500 μB/atom.

Cell lengths 6.9244, 6.9244, 6.9244 Å; angles 90.00, 90.00, 90.00 degrees
Space group F-43m (No. 216)
Unique sites:
Pm: 0.0000 0.0000 0.0000 [4 per cell]
Pu: 0.0000 0.0000 0.5000 [4 per cell]
Ni: 0.2500 0.2500 0.7500 [4 per cell]
P: 0.2500 0.2500 0.2500 [4 per cell]

=====

3.
DFT (GGA-PBE) results for an optimized crystal structure of TbDyUO6.

Summary:
For the density of states at the Fermi level, the calculation gives 0.00 states/eV/atom. The calculation puts the formation energy from raw total energies at -3.35 eV per atom. The spin magnetization is 0.000 μB/atom.

Cell lengths 5.7782, 5.7782, 9.4031 Å; angles 90.00, 90.00, 120.00 degrees
Space group P-31c (No. 163)
Unique sites:
Tb: 0.0000 0.0000 0.0000 [2 per cell]
Dy: 0.3333 0.6667 0.2500 [2 per cell]
U: 0.3333 0.6667 0.7500 [2 per cell]
O: 0.0232 0.3552 0.6342 [12 per cell]

=====

4.
DFT (GGA-PBE) results for an optimized crystal structure of Ca3SmTl2.

Summary:
For the density of states at the Fermi level, the calculation gives 0.94 states/eV/atom. The calculation puts the formation energy from the elements at -0.333 eV/atom. The spin magnetization is 0.000 μB/atom.

Cell lengths 5.3178, 9.8710, 7.2407 Å; angles 90.00, 90.00, 90.00 degrees
Space group Pmc2_1 (No. 26)
Unique sites:
Ca: 0.0000 0.0552 0.0000 [2 per cell]
Ca: 0.0000 0.3139 0.3605 [2 per cell]
Ca: 0.5000 0.1797 0.7021 [2 per cell]
Sm: 0.5000 0.4494 0.0591 [2 per cell]
Tl: 0.0000 0.3658 0.8102 [2 per cell]
Tl: 0.5000 0.1460 0.2493 [2 per cell]

=====

5.
DFT (GGA-PBE) results for an optimized crystal structure of PaCo2Si2Ni.

Summary:
For the density of states at the Fermi level, the calculation gives 0.98 states/eV/atom. The calculation puts the formation energy from raw total energies at -0.08 eV per atom. The spin magnetization is 0.000 μB/atom.

Cell lengths 4.2372, 4.2372, 5.0902 Å; angles 90.00, 90.00, 90.00 degrees
Space group P4/mmm (No. 123)
Unique sites:
Pa: 0.0000 0.0000 0.0000 [1 per cell]
Co: 0.5000 0.5000 0.2430 [2 per cell]
Si: 0.0000 0.5000 0.5000 [2 per cell]
Ni: 0.0000 0.0000 0.5000 [1 per cell]

=====

6.
DFT (GGA-PBE) results for an optimized crystal structure of Ge2Se2Br.

Summary:
For the density of states at the Fermi level, the calculation gives 0.22 states/eV/atom. The calculation puts the formation energy from raw total energies at -0.10 eV per atom. The spin magnetization is 0.000 μB/atom.

Cell lengths 4.4248, 4.4248, 12.9322 Å; angles 90.00, 90.00, 90.00 degrees
Space group I4/mmm (No. 139)
Unique sites:
Ge: 0.0000 0.0000 0.1251 [4 per cell]
Se: 0.0000 0.5000 0.2500 [4 per cell]
Br: 0.0000 0.0000 0.5000 [2 per cell]

=====

Question: What is the formula in the fifth record?
Answer: PaCo2Si2Ni

=====

Question: What is the spin magnetization in the fourth record?
Answer: 0.000 μB/atom